Crystalline Pm8PrNd5 at its relaxed geometry, computed with PBE-GGA.

Lattice parameters (Å, degrees): 9.7508 9.7508 10.4408 90.00 90.00 90.00
Closest atoms and distances in Å follow each position.
Space group I-4 (No. 82)
One atom of each set of equivalent atoms:
Pm (0.0718, 0.1763, 0.3534)  5 Nd 3.41-3.64, 3 Pm 3.71-3.73
Pm (0.0814, 0.3186, 0.0050)  1 Pr 3.21, 3 Nd 3.21-3.49
Pr (0.0000, 0.0000, 0.0000)  4 Pm 3.21
Nd (0.0000, 0.5000, 0.2500)  8 Pm 3.21-3.41
Nd (0.1079, 0.2902, 0.6767)  8 Pm 3.45-3.68, 2 Nd 3.60

## Properties
electronic total energy: -63.53 eV/f.u.
theoretical density: 6.77 Mg/m³
total moment: 0.0 μB/f.u.
D(E_F): 20.4 states/eV/f.u.

---

Crystalline RbTcHg2Br8 at its relaxed geometry, computed with PBE-GGA.

Lattice parameters (Å, degrees): 6.9795 7.4440 9.2695 69.56 84.79 84.63
Closest atoms and distances in Å follow each position.
Space group P-1 (No. 2)
One atom of each set of equivalent atoms:
Rb (0.0000, 0.0000, 0.0000)  6 Br 3.56-3.61
Tc (0.0000, 0.5000, 0.5000)  6 Br 2.52-2.56
Hg (0.4670, 0.5169, 0.2181)  5 Br 2.71-2.96
Br (0.1289, 0.4747, 0.7568)  1 Tc 2.56, 1 Hg 2.86
Br (0.2212, 0.7648, 0.3546)  1 Tc 2.53
Br (0.2636, 0.2649, 0.4573)  1 Tc 2.52, 1 Hg 2.73
Br (0.4610, 0.7799, 0.9290)  2 Hg 2.71-2.96

## Properties
theoretical density: 4.53 Mg/m³
total moment: 2.0 μB/f.u.
energy relative to the elements, uncorrected: -0.63 eV per atom
D(E_F): 0.2 states/eV/f.u.

---

Crystalline Mg2ZrPt at its relaxed geometry, computed with PBE-GGA.

Lattice parameters (Å, degrees): 6.6269 6.6269 6.6269 90.00 90.00 90.00
Closest atoms and distances in Å follow each position.
Space group Fm-3m (No. 225)
One atom of each set of equivalent atoms:
Mg (0.2500, 0.2500, 0.2500)  4 Zr 2.87, 4 Pt 2.87
Zr (0.0000, 0.0000, 0.0000)  8 Mg 2.87
Pt (0.0000, 0.0000, 0.5000)  8 Mg 2.87

## Properties
electronic total energy: -18.99 eV/f.u.
theoretical density: 7.64 Mg/m³
total moment: 0.0 μB/f.u.
D(E_F): 2.6 states/eV/f.u.

---

Crystalline Sn6AsS2Br3 at its relaxed geometry, computed with PBE-GGA.

Lattice parameters (Å, degrees): 7.9977 11.6515 7.5571 90.00 103.38 90.00
Closest atoms and distances in Å follow each position.
Space group C2/m (No. 12)
One atom of each set of equivalent atoms:
Sn (0.2327, 0.1684, 0.2068)  2 S 2.90-2.93, 1 As 2.90, 1 Br 3.21
Sn (0.2409, 0.5000, 0.2124)  1 As 2.90, 2 S 2.91, 1 Br 3.22
As (0.0000, 0.0000, 0.0000)  6 Sn 2.90
S (0.0000, 0.3367, 0.0000)  6 Sn 2.90-2.93
Br (0.0000, 0.1647, 0.5000)  6 Sn 3.21-3.33
Br (0.0000, 0.5000, 0.5000)  6 Sn 3.22-3.34

## Properties
theoretical density: 5.29 Mg/m³
total moment: 0.0 μB/f.u.
energy relative to the elements, uncorrected: -0.30 eV per atom
D(E_F): 4.5 states/eV/f.u.

---

Crystalline CaPrMg at its relaxed geometry, computed with PBE-GGA.

Lattice parameters (Å, degrees): 3.8705 3.8705 13.3829 90.00 90.00 90.00
Closest atoms and distances in Å follow each position.
Space group P4/nmm (No. 129, origin choice 2)
One atom of each set of equivalent atoms:
Ca (0.2500, 0.2500, 0.1050)  4 Mg 3.41
Pr (0.2500, 0.2500, 0.4089)  4 Mg 3.41, 4 Pr 3.66
Mg (0.2500, 0.2500, 0.7426)  4 Pr 3.41, 4 Ca 3.41

## Properties
theoretical density: 3.40 Mg/m³
total moment: 0.0 μB/f.u.
energy relative to the lowest polymorph listed for this composition: 0.0 meV per atom
D(E_F): 2.7 states/eV/f.u.

---

Crystalline Zn3Ag2Pt at its relaxed geometry, computed with PBE-GGA.

Lattice parameters (Å, degrees): 4.1637 7.0893 6.6949 90.00 107.79 90.00
Closest atoms and distances in Å follow each position.
Space group P2/m (No. 10)
One atom of each set of equivalent atoms:
Zn (0.0000, 0.2437, 0.0000)  2 Pt 2.69, 6 Ag 2.71-2.78
Zn (0.3282, 0.2361, 0.6554)  3 Pt 2.67-2.70, 5 Ag 2.76-2.89, 2 Zn 2.86-2.88
Ag (0.1651, 0.5000, 0.3304)  8 Zn 2.78-2.80, 4 Ag 2.95-3.01
Ag (0.5000, 0.0000, 0.0000)  8 Zn 2.71-2.76, 4 Pt 2.92-2.94
Ag (0.5000, 0.5000, 0.0000)  8 Zn 2.76-2.89, 4 Ag 2.95-2.97
Pt (0.1611, 0.0000, 0.3236)  8 Zn 2.67-2.70, 2 Ag 2.92-2.94

## Properties
electronic total energy: -16.79 eV/f.u.
theoretical density: 10.71 Mg/m³
total moment: 0.0 μB/f.u.
D(E_F): 1.9 states/eV/f.u.

---

Crystalline Pm6HC2Br3 at its relaxed geometry, computed with PBE-GGA.

Lattice parameters (Å, degrees): 6.5897 11.3888 7.6524 90.00 106.83 90.00
Closest atoms and distances in Å follow each position.
Space group C2/m (No. 12)
One atom of each set of equivalent atoms:
Pm (0.2121, 0.0000, 0.1871)  2 C 2.53, 1 H 2.69
Pm (0.2360, 0.3256, 0.1857)  2 C 2.54-2.55, 1 H 2.67
H (0.0000, 0.5000, 0.0000)  6 Pm 2.67-2.69
C (0.0000, 0.1660, 0.0000)  6 Pm 2.53-2.55
Br (0.0000, 0.0000, 0.5000)  6 Pm 3.10-3.21
Br (0.0000, 0.3323, 0.5000)  6 Pm 3.10-3.22

## Properties
electronic total energy: -65.15 eV/f.u.
theoretical density: 6.86 Mg/m³
total moment: 0.0 μB/f.u.
D(E_F): 5.8 states/eV/f.u.

---

Crystalline TmZr3 at its relaxed geometry, computed with PBE-GGA.

Lattice parameters (Å, degrees): 3.2926 10.4541 5.7319 90.00 90.00 90.00
Closest atoms and distances in Å follow each position.
Space group Imm2 (No. 44)
One atom of each set of equivalent atoms:
Tm (0.0000, 0.0000, 0.0000)  10 Zr 3.22-3.32, 2 Tm 3.29
Zr (0.0000, 0.2474, 0.3335)  9 Zr 3.22-3.31, 3 Tm 3.22-3.25
Zr (0.0000, 0.5000, 0.0025)  8 Zr 3.22-3.29, 4 Tm 3.29-3.32

## Properties
theoretical density: 7.45 Mg/m³
total moment: 0.0 μB/f.u.
energy relative to the lowest polymorph listed for this composition: 13.4 meV per atom
D(E_F): 4.2 states/eV/f.u.

---

Crystalline Ca2ReTc at its relaxed geometry, computed with PBE-GGA.

Lattice parameters (Å, degrees): 8.0630 8.0630 5.3177 90.00 90.00 90.00
Closest atoms and distances in Å follow each position.
Space group I-42d (No. 122)
One atom of each set of equivalent atoms:
Ca (0.2445, 0.2500, 0.1250)  2 Ca 2.66, 2 Tc 2.90, 2 Re 2.96
Re (0.0000, 0.0000, 0.5000)  2 Tc 2.66, 4 Ca 2.96
Tc (0.0000, 0.0000, 0.0000)  2 Re 2.66, 4 Ca 2.90

## Properties
theoretical density: 7.00 Mg/m³
total moment: 1.2 μB/f.u.
energy relative to the lowest polymorph listed for this composition: 1055.7 meV per atom
D(E_F): 4.4 states/eV/f.u.

---

Crystalline DyLuPu2 at its relaxed geometry, computed with PBE-GGA.

Lattice parameters (Å, degrees): 4.7759 4.7759 5.0089 90.00 90.00 90.00
Closest atoms and distances in Å follow each position.
Space group P4/mmm (No. 123)
One atom of each set of equivalent atoms:
Dy (0.0000, 0.0000, 0.0000)  4 Lu 3.38, 8 Pu 3.46
Lu (0.5000, 0.5000, 0.0000)  4 Dy 3.38, 8 Pu 3.46
Pu (0.0000, 0.5000, 0.5000)  4 Pu 3.38, 4 Lu 3.46, 4 Dy 3.46

## Properties
theoretical density: 12.00 Mg/m³
total moment: 12.8 μB/f.u.
energy relative to the lowest polymorph listed for this composition: 3.3 meV per atom
D(E_F): 14.1 states/eV/f.u.

---

Crystalline Sm4Ho4Cd at its relaxed geometry, computed with PBE-GGA.

Lattice parameters (Å, degrees): 10.5877 10.5877 4.9788 90.00 90.00 90.00
Closest atoms and distances in Å follow each position.
Space group I4/mmm (No. 139)
One atom of each set of equivalent atoms:
Sm (0.1643, 0.1643, 0.0000)  4 Sm 3.48-3.58, 2 Cd 3.50, 6 Ho 3.53-3.55
Ho (0.0000, 0.3339, 0.5000)  5 Ho 3.52, 6 Sm 3.53-3.55, 1 Cd 3.53
Cd (0.0000, 0.0000, 0.5000)  8 Sm 3.50, 4 Ho 3.53

## Properties
electronic total energy: -38.25 eV/f.u.
theoretical density: 8.17 Mg/m³
total moment: 0.0 μB/f.u.
D(E_F): 12.1 states/eV/f.u.

---

Crystalline KCrSb2 at its relaxed geometry, computed with PBE-GGA.

Lattice parameters (Å, degrees): 3.2574 3.6979 9.0726 90.00 90.00 90.00
Closest atoms and distances in Å follow each position.
Space group Pmm2 (No. 25)
One atom of each set of equivalent atoms:
K (0.0000, 0.0000, 0.0000)  2 K 3.26, 6 Sb 3.52-3.57
Cr (0.5000, 0.0000, 0.5108)  6 Sb 2.76-2.86
Sb (0.0000, 0.5000, 0.6705)  4 Cr 2.86
Sb (0.5000, 0.5000, 0.2842)  2 Cr 2.76

## Properties
theoretical density: 5.08 Mg/m³
total moment: 3.0 μB/f.u.
energy relative to the elements, uncorrected: 0.02 eV per atom
energy relative to the lowest polymorph listed for this composition: 96.9 meV per atom
D(E_F): 1.4 states/eV/f.u.

---

Question: Among the records above, which one has the lowest theoretical density?
Answer: CaPrMg